[1]
The following is a PBE calculation of TiS3O after structural relaxation, from Alexandria via LeMat-Bulk.

Properties
- Total DFT energy (no corrections): -23.35 eV for the cell shown
- Energy relative to the elements, uncorrected: 36.3 kJ/mol of atoms
- Energy above the most stable polymorph in this dataset: 68 meV/atom
- Density of states at the Fermi level: 8.6 states/eV/f.u.

Unit cell a=4.607 b=4.607 c=4.607 alpha=90.00 beta=90.00 gamma=90.00
Atoms (fractional coordinates):
S 0.000 0.500 0.000
S 0.500 0.000 0.000
S 0.000 0.000 0.500
O 0.500 0.500 0.500
Ti 0.000 0.000 0.000

***

[2]
The following is a PBE calculation of BaHo4Au3O12 after structural relaxation, from Alexandria via LeMat-Bulk.

Properties
- Total DFT energy (no corrections): -131.62 eV for the cell shown
- Energy relative to the elements, uncorrected: -202.9 kJ/mol of atoms
- Density of states at the Fermi level: 16.5 states/eV/f.u.

Unit cell a=7.210 b=7.210 c=7.210 alpha=109.47 beta=109.47 gamma=109.47
Atoms (fractional coordinates):
Ho 0.000 0.000 0.500
Ho 0.500 0.000 0.000
Ho 0.000 0.500 0.000
Ho 0.500 0.500 0.500
O 0.685 0.162 0.846
O 0.315 0.838 0.154
O 0.846 0.685 0.162
O 0.162 0.477 0.315
O 0.838 0.523 0.685
O 0.523 0.685 0.838
O 0.162 0.846 0.685
O 0.685 0.838 0.523
O 0.154 0.315 0.838
O 0.838 0.154 0.315
O 0.477 0.315 0.162
O 0.315 0.162 0.477
Au 0.500 0.000 0.500
Au 0.500 0.500 0.000
Au 0.000 0.500 0.500
Ba 0.000 0.000 0.000

***

[3]
The following is a PBE calculation of Ni2AuI after structural relaxation, from Alexandria via LeMat-Bulk.

Properties
- Total DFT energy (no corrections): -14.22 eV for the cell shown
- Energy relative to the elements, uncorrected: 52.3 kJ/mol of atoms
- Energy above the most stable polymorph in this dataset: 0 meV/atom
- Density of states at the Fermi level: 4.3 states/eV/f.u.

Unit cell a=4.531 b=4.531 c=4.531 alpha=60.00 beta=60.00 gamma=60.00
Atoms (fractional coordinates):
Au 0.500 0.500 0.500
Ni 0.750 0.750 0.750
Ni 0.250 0.250 0.250
I 0.000 0.000 0.000

***

[4]
The following is a PBE calculation of CaHSN2 after structural relaxation, from Alexandria via LeMat-Bulk.

Properties
- Total DFT energy (no corrections): -20.93 eV for the cell shown
- Energy above the most stable polymorph in this dataset: 0 meV/atom
- Density of states at the Fermi level: 2.8 states/eV/f.u.

Unit cell a=4.027 b=4.027 c=3.332 alpha=90.00 beta=90.00 gamma=90.00
Atoms (fractional coordinates):
N 0.500 0.000 0.000
N 0.000 0.500 0.000
Ca 0.500 0.500 0.500
S 0.000 0.000 0.500
H 0.000 0.000 0.000

***

Which of these has the lowest density of states at the Fermi level? CaHSN2